Computed, not measured: Tb2Nd2HoEr2 after structural relaxation at the PBE-GGA level of DFT.

Cell lengths 6.1140, 6.1140, 11.8418 Å; angles 108.60, 108.60, 33.45 degrees
Closest atoms and distances in Å follow each position.
Fractional positions:
Tb (0.0507, 0.0507, 0.2680)  3 Er 3.47-3.56, 2 Ho 3.50, 2 Tb 3.52, 4 Nd 3.54-3.61
Tb (0.9493, 0.9493, 0.7320)  3 Er 3.47-3.56, 2 Ho 3.50, 2 Tb 3.52, 4 Nd 3.54-3.61
Nd (0.1699, 0.1699, 0.5846)  5 Nd 3.52-3.81, 4 Tb 3.54-3.61, 2 Er 3.62
Nd (0.8301, 0.8301, 0.4154)  5 Nd 3.52-3.81, 4 Tb 3.54-3.61, 2 Er 3.62
Ho (0.5000, 0.5000, 0.0000)  4 Tb 3.50, 2 Ho 3.52, 6 Er 3.52-3.54
Er (0.2738, 0.2738, 0.1352)  3 Tb 3.47-3.56, 4 Er 3.52-3.53, 3 Ho 3.52-3.54, 2 Nd 3.62
Er (0.7262, 0.7262, 0.8648)  3 Tb 3.47-3.56, 4 Er 3.52-3.53, 3 Ho 3.52-3.54, 2 Nd 3.62

For the formation energy from the elements, the calculation gives 0.085 eV per atom. As for the crystal system: monoclinic. The value obtained for the magnetization is 0.00 μB per formula unit.

=====

Computed, not measured: TaAg2Au8 after structural relaxation at the PBE-GGA level of DFT.

Cell lengths 7.6918, 7.6918, 7.6918 Å; angles 149.21, 114.77, 73.86 degrees
Closest atoms and distances in Å follow each position.
Fractional positions:
Ta (0.0000, 0.0000, 0.0000)  12 Au 2.87-2.91
Ag (0.3436, 0.3436, 0.0000)  10 Au 2.87-3.06
Ag (0.6564, 0.6564, 0.0000)  10 Au 2.87-3.06
Au (0.0891, 0.8384, 0.2507)  7 Au 2.85-2.98, 1 Ta 2.88, 3 Ag 2.91-3.06
Au (0.1685, 0.6685, 0.5000)  8 Au 2.89-2.94, 2 Ta 2.91, 2 Ag 2.97
Au (0.2428, 0.5000, 0.7428)  6 Au 2.85-2.89, 2 Ta 2.87, 2 Ag 2.87
Au (0.4123, 0.1616, 0.2507)  7 Au 2.85-2.98, 1 Ta 2.88, 3 Ag 2.91-3.06
Au (0.5877, 0.8384, 0.7493)  7 Au 2.85-2.98, 1 Ta 2.88, 3 Ag 2.91-3.06
Au (0.7572, 0.5000, 0.2572)  6 Au 2.85-2.89, 2 Ta 2.87, 2 Ag 2.87
Au (0.8315, 0.3315, 0.5000)  8 Au 2.89-2.94, 2 Ta 2.91, 2 Ag 2.97
Au (0.9109, 0.1616, 0.7493)  7 Au 2.85-2.98, 1 Ta 2.88, 3 Ag 2.91-3.06

For the formation energy from the elements, the calculation gives 0.042 eV per atom. As for the crystal system: orthorhombic. The value obtained for the magnetization is 0.00 μB per formula unit.

=====

Computed, not measured: K2AgAs2 after structural relaxation at the PBE-GGA level of DFT.

Cell lengths 10.5117, 10.5117, 10.5117 Å; angles 158.84, 158.84, 30.10 degrees
Closest atoms and distances in Å follow each position.
Fractional positions:
K (0.1103, 0.1103, 0.0000)  4 As 3.43, 4 Ag 3.53
K (0.8897, 0.8897, 0.0000)  4 As 3.43, 4 Ag 3.53
Ag (0.5000, 0.5000, 0.0000)  8 K 3.53, 4 Ag 3.86
As (0.2500, 0.7500, 0.5000)  4 As 2.73
As (0.7500, 0.2500, 0.5000)  4 As 2.73

For the formation energy from the elements, the calculation gives -0.052 eV per atom. For the energy above the most stable polymorph in this dataset, the calculation gives 208 meV/atom. As for the crystal system: tetragonal. The value obtained for the magnetization is 0.00 μB per formula unit.

=====

Computed, not measured: PmPbAu6 after structural relaxation at the PBE-GGA level of DFT.

Cell lengths 5.5698, 5.5698, 5.5698 Å; angles 90.00, 90.00, 90.00 degrees
Closest atoms and distances in Å follow each position.
Fractional positions:
Pm (0.0000, 0.0000, 0.0000)  12 Au 3.11
Pb (0.5000, 0.5000, 0.5000)  12 Au 3.12
Au (0.0000, 0.2492, 0.5000)  2 Au 2.78-2.79
Au (0.0000, 0.7508, 0.5000)  2 Au 2.78-2.79
Au (0.2492, 0.5000, 0.0000)  2 Au 2.78-2.79
Au (0.5000, 0.0000, 0.2492)  2 Au 2.78-2.79
Au (0.5000, 0.0000, 0.7508)  2 Au 2.78-2.79
Au (0.7508, 0.5000, 0.0000)  2 Au 2.78-2.79

For the formation energy from the elements, the calculation gives -0.288 eV per atom. As for the crystal system: cubic. The value obtained for the magnetization is 0.00 μB per formula unit.

=====

Computed, not measured: K5H2PdAu after structural relaxation at the PBE-GGA level of DFT.

Cell lengths 5.6301, 5.6301, 8.7965 Å; angles 90.00, 90.00, 90.00 degrees
Closest atoms and distances in Å follow each position.
Fractional positions:
K (0.0000, 0.0000, 0.0000)  2 H 2.71
K (0.0000, 0.5000, 0.2869)  2 H 2.82
K (0.0000, 0.5000, 0.7131)  2 H 2.82
K (0.5000, 0.0000, 0.2869)  2 H 2.82
K (0.5000, 0.0000, 0.7131)  2 H 2.82
H (0.0000, 0.0000, 0.3075)  1 Pd 1.69
H (0.0000, 0.0000, 0.6925)  1 Pd 1.69
Pd (0.0000, 0.0000, 0.5000)  2 H 1.69
Au (0.5000, 0.5000, 0.0000)  12 K 3.78-3.98

As for the calculated total energy: -2.47 eV/atom. As for the crystal system: tetragonal. The value obtained for the magnetization is 0.00 μB per formula unit.

=====

Computed, not measured: MnH3Pd3 after structural relaxation at the PBE-GGA level of DFT.

Cell lengths 5.3952, 5.3952, 5.3952 Å; angles 92.84, 92.84, 92.84 degrees
Closest atoms and distances in Å follow each position.
Fractional positions:
Mn (0.1682, 0.1682, 0.1682)  3 H 1.95
Mn (0.8318, 0.8318, 0.8318)  3 H 1.95
H (0.0356, 0.6816, 0.5838)  3 Pd 1.76-1.83, 1 Mn 1.95
H (0.3184, 0.4162, 0.9644)  3 Pd 1.76-1.83, 1 Mn 1.95
H (0.4162, 0.9644, 0.3184)  3 Pd 1.76-1.83, 1 Mn 1.95
H (0.5838, 0.0356, 0.6816)  3 Pd 1.76-1.83, 1 Mn 1.95
H (0.6816, 0.5838, 0.0356)  3 Pd 1.76-1.83, 1 Mn 1.95
H (0.9644, 0.3184, 0.4162)  3 Pd 1.76-1.83, 1 Mn 1.95
Pd (0.0745, 0.3890, 0.7339)  3 H 1.76-1.83
Pd (0.2661, 0.9255, 0.6110)  3 H 1.76-1.83
Pd (0.3890, 0.7339, 0.0745)  3 H 1.76-1.83
Pd (0.6110, 0.2661, 0.9255)  3 H 1.76-1.83
Pd (0.7339, 0.0745, 0.3890)  3 H 1.76-1.83
Pd (0.9255, 0.6110, 0.2661)  3 H 1.76-1.83

For the energy above the most stable polymorph in this dataset, the calculation gives 10 meV/atom. As for the crystal system: trigonal. The value obtained for the magnetization is 4.37 μB per formula unit.

=====

Computed, not measured: TcB2 after structural relaxation at the PBE-GGA level of DFT.

Cell lengths 4.1003, 4.1003, 4.1003 Å; angles 41.59, 41.59, 41.59 degrees
Closest atoms and distances in Å follow each position.
Fractional positions:
Tc (0.0000, 0.0000, 0.0000)  8 B 2.22-2.27
B (0.1975, 0.1975, 0.1975)  3 B 1.82
B (0.8025, 0.8025, 0.8025)  3 B 1.82

For the formation energy from the elements, the calculation gives -0.391 eV per atom. For the energy above the most stable polymorph in this dataset, the calculation gives 47 meV/atom. As for the crystal system: trigonal. The value obtained for the magnetization is 0.00 μB per formula unit.

=====

Computed, not measured: Pa2HgN after structural relaxation at the PBE-GGA level of DFT.

Cell lengths 8.7694, 8.7694, 8.7694 Å; angles 21.74, 21.74, 21.74 degrees
Closest atoms and distances in Å follow each position.
Fractional positions:
Pa (0.2253, 0.2253, 0.2253)  3 N 2.43
Pa (0.7747, 0.7747, 0.7747)  3 N 2.43
Hg (0.0000, 0.0000, 0.0000)  6 Hg 3.31, 6 Pa 3.37
N (0.5000, 0.5000, 0.5000)  6 Pa 2.43

For the energy relative to the elements, uncorrected, the calculation gives -0.7109 eV/atom. For the energy above the most stable polymorph in this dataset, the calculation gives 0 meV/atom. As for the crystal system: trigonal. The value obtained for the magnetization is 0.00 μB per formula unit.

=====

- What is the magnetization in the fourth record?
  0.00 μB per formula unit

=====

Please write out number 8 again, unchanged.
Computed, not measured: Pa2HgN after structural relaxation at the PBE-GGA level of DFT.

Cell lengths 8.7694, 8.7694, 8.7694 Å; angles 21.74, 21.74, 21.74 degrees
Closest atoms and distances in Å follow each position.
Fractional positions:
Pa (0.2253, 0.2253, 0.2253)  3 N 2.43
Pa (0.7747, 0.7747, 0.7747)  3 N 2.43
Hg (0.0000, 0.0000, 0.0000)  6 Hg 3.31, 6 Pa 3.37
N (0.5000, 0.5000, 0.5000)  6 Pa 2.43

For the energy relative to the elements, uncorrected, the calculation gives -0.7109 eV/atom. For the energy above the most stable polymorph in this dataset, the calculation gives 0 meV/atom. As for the crystal system: trigonal. The value obtained for the magnetization is 0.00 μB per formula unit.